(1)
This record from Alexandria via LeMat-Bulk describes a relaxed NaTaH2 crystal. The functional is PBE-GGA.

The structure in extended XYZ format:
```
8
Lattice="-2.606 2.606 3.507 2.606 -2.606 3.507 2.606 2.606 -3.507" Properties=species:S:1:pos:R:3 pbc="T T T"
Na 0.000 0.000 0.000
Na 0.000 2.606 1.753
Ta 2.606 0.000 1.753
Ta 0.000 0.000 3.507
H 1.303 -1.029 2.630
H 1.578 1.303 0.877
H 1.303 3.635 -0.877
H 1.029 1.303 4.384
```

Its symmetry is I-42d, No. 122. The energy above the lowest structure with this stoichiometry comes out at 0 meV/atom.

(2)
This record from Alexandria via LeMat-Bulk describes a relaxed Pm3InAu4 crystal. The functional is PBE-GGA.

The structure in extended XYZ format:
```
8
Lattice="-1.971 3.630 7.387 1.971 -3.630 7.387 1.971 3.630 -7.387" Properties=species:S:1:pos:R:3 pbc="T T T"
Pm 0.000 0.000 0.000
Pm 1.971 0.000 4.613
Pm 0.000 3.630 2.774
In 0.000 0.000 7.387
Au 1.971 1.431 -1.948
Au 1.971 1.431 1.948
Au 0.000 2.199 5.440
Au 0.000 2.199 9.335
```

Its symmetry is Immm, No. 71.

(3)
This record from Alexandria via LeMat-Bulk describes a relaxed Ce5NpN8 crystal. The functional is PBE-GGA.

The structure in extended XYZ format:
```
14
Lattice="-3.675 3.675 3.739 3.675 -3.675 3.739 3.675 3.675 -3.739" Properties=species:S:1:pos:R:3 pbc="T T T"
Ce 0.000 0.000 0.000
Ce 4.608 1.810 -0.934
Ce 1.810 2.743 0.934
Ce -0.932 1.865 2.805
Ce 1.865 0.932 4.673
Np 3.675 0.000 1.870
N 2.129 3.289 -1.452
N 1.546 0.386 2.287
N -0.436 2.273 0.527
N 4.061 2.129 1.452
N 0.436 5.077 0.527
N 1.402 3.239 3.212
N -0.386 1.546 5.191
N -1.402 4.112 3.212
```

Its symmetry is I-4, No. 82. For the energy relative to the elements, uncorrected, the calculation gives -17.27 eV per formula unit.

(4)
This record from Alexandria via LeMat-Bulk describes a relaxed Tb2HBr3 crystal. The functional is PBE-GGA.

The structure in extended XYZ format:
```
12
Lattice="8.938 -1.920 0.000 8.938 1.920 0.000 -5.971 0.000 9.622" Properties=species:S:1:pos:R:3 pbc="T T T"
Tb -1.428 0.000 4.440
Tb 5.243 0.000 1.965
Tb 6.662 0.000 7.657
Tb 13.332 0.000 5.182
H -2.580 0.000 6.406
H 14.484 0.000 3.216
Br 2.894 0.000 0.103
Br 2.853 0.000 3.660
Br 3.774 0.000 7.270
Br 8.130 0.000 2.352
Br 9.051 0.000 5.962
Br 9.010 0.000 9.519
```

Its symmetry is C2/m, No. 12.

| no. | E (Ha/atom) | theoretical density (g/cm3) |
| --- | --- | --- |
| 1 | -0.1738 | 7.2 |
| 2 | -0.1621 | 10.5 |
| 3 | -0.3320 | 8.6 |
| 4 | -0.1588 | 5.6 |